Here is an optimized crystal structure of CaSiGeS from Alexandria. Energies are from PBE.

Values from the calculation:
The space group is R3m. Its total magnetization is 0.000 μB/atom.

Cell lengths 7.314, 7.314, 7.314 Å; angles 31.84, 31.84, 31.84 degrees
Positions (direct):
Ca  0.000  0.000  0.000
Si  0.779  0.779  0.779
Ge  0.156  0.156  0.156
S  0.267  0.267  0.267



Here is an optimized crystal structure of CaSiGeS from Alexandria. Energies are from PBE.

Values from the calculation:
The space group is R3m. Its total magnetization is 0.000 μB/atom.

Cell lengths 6.465, 6.465, 6.465 Å; angles 39.76, 39.76, 39.76 degrees
Positions (direct):
Ca  0.000  0.000  0.000
Si  0.566  0.566  0.566
Ge  0.181  0.181  0.181
S  0.698  0.698  0.698



Volume (A^3/atom)
24.18 24.88
Energy above the lowest structure with this stoichiometry (eV/atom)
0.098 0.213